YNi2SbO6 PBE with a Hubbard U optimized geometry; DOS(E_F) = 0.0000 states/eV per atom; final energy = -63.9 eV for the cell shown
1.0
-0.1952 -1.0227 -5.2345
-0.7781 -4.9933 -1.7159
-5.0892 -1.2750 -2.2821
O Y Ni Sb
6 1 2 1
Cartesian
-1.8575 -4.2313 -6.4437
-4.1292 -2.3987 -5.7064
-4.5108 -4.9212 -4.9805
-1.5100 -2.0830 -4.0643
-1.9823 -5.1960 -3.3689
-4.2090 -3.0411 -3.1343
-3.7315 -5.5930 -6.9305
-4.8766 -1.3076 -2.2831
-2.7275 -3.6922 -4.6185
-0.5262 -1.9744 -2.3153